This record from Alexandria describes Cd2TeW after structural relaxation. The functional is PBE.

Cell: 3.0496 3.0496 11.1986 Å, 90.00 90.00 115.01°
Fractional coordinates of all 4 atoms:
Te 0.0000 0.0000 0.5606
W 0.5000 0.5000 0.7539
Cd 0.0000 0.0000 0.9708
Cd 0.5000 0.5000 0.2148

Computed properties:
* raw total energy: -3.942 eV per atom
* raw formation energy: 0.539 eV per atom
* space-group type: No. 35